{"formula": "MoRh2F", "functional": "PBE with a Hubbard U", "state": "relaxed", "cell": [[3.494, -2.276, 1.224], [1.506, 0.348, 4.062], [-0.431, -3.321, 2.770]], "species": ["Mo", "F", "Rh", "Rh"], "fractional_positions": [[0.500, 0.500, 0.500], [0.000, 0.000, 0.000], [0.750, 0.750, 0.750], [0.250, 0.250, 0.250]], "crystal_system": "cubic", "total_energy_ev_per_atom": -5.626}